Record 1
First-principles (PBEsol) data for crystalline Ba6Y2Ti4O17 at its relaxed geometry, as listed in Alexandria.

## Properties
Total DFT energy (no corrections) ... -481.65 eV/cell
Crystal system ... hexagonal
D(E_F) ... 0.00 states/eV/f.u.
Space-group type ... P6_3/mmc
Formation energy from raw total energies ... -3.1642 eV/atom

Geometry as extended XYZ:
```
58
Lattice="5.9075 0.0000 0.0000 -2.9537 5.1160 0.0000 0.0000 0.0000 29.6612" Properties=species:S:1:pos:R:3 pbc="T T T"
Ba 0.0000 0.0000 0.0000
Ba 0.0000 0.0000 7.4153
Ba 0.0000 0.0000 14.8306
Ba 0.0000 0.0000 22.2459
Ba 0.0000 3.4107 2.6752
Ba 0.0000 3.4107 12.1554
Ba 0.0000 3.4107 20.2903
Ba 0.0000 3.4107 24.2014
Ba 2.9538 1.7053 5.4597
Ba 2.9538 1.7053 9.3709
Ba 2.9538 1.7053 17.5058
Ba 2.9538 1.7053 26.9859
Y 0.0000 0.0000 3.7613
Y 0.0000 0.0000 11.0692
Y 0.0000 0.0000 18.5919
Y 0.0000 0.0000 25.8998
Ti 0.0000 3.4107 6.0521
Ti 0.0000 3.4107 8.7785
Ti 0.0000 3.4107 16.4439
Ti 0.0000 3.4107 28.0479
Ti 2.9538 1.7053 1.6133
Ti 2.9538 1.7053 13.2173
Ti 2.9538 1.7053 20.8827
Ti 2.9538 1.7053 23.6091
O -1.3232 2.6467 7.4153
O 0.0000 1.7118 17.1265
O 0.0000 1.7118 27.3653
O -1.4713 4.2601 17.1265
O -1.4713 4.2601 27.3653
O 0.0000 1.7916 5.0361
O 0.0000 1.7916 9.7945
O -1.4022 4.2202 5.0361
O -1.4022 4.2202 9.7945
O 0.0000 3.4107 0.1529
O 0.0000 3.4107 14.6777
O 1.4825 0.8559 2.2959
O 1.4825 0.8559 12.5347
O 1.5516 0.8958 19.8667
O 1.5516 0.8958 24.6251
O 1.3232 2.6467 7.4153
O 0.0000 4.9386 7.4153
O 2.9538 0.1774 22.2459
O 1.6305 2.4693 22.2459
O 1.4022 4.2202 5.0361
O 1.4022 4.2202 9.7945
O 1.4713 4.2601 17.1265
O 1.4713 4.2601 27.3653
O 2.9538 1.7053 14.9835
O 2.9538 1.7053 29.5083
O 4.3559 0.8958 19.8667
O 4.3559 0.8958 24.6251
O 2.9537 3.3244 19.8667
O 2.9537 3.3244 24.6251
O 4.4250 0.8559 2.2959
O 4.4250 0.8559 12.5347
O 2.9537 3.4042 2.2959
O 2.9537 3.4042 12.5347
O 4.2770 2.4693 22.2459
```

---

Record 2
First-principles (PBEsol) data for crystalline Ba4Zr3TiO12 at its relaxed geometry, as listed in Alexandria.

## Properties
Total DFT energy (no corrections) ... -172.55 eV/cell
Crystal system ... tetragonal
D(E_F) ... 0.00 states/eV/f.u.
Space-group type ... P4/mmm
Formation energy from raw total energies ... -3.2683 eV/atom

Geometry as extended XYZ:
```
20
Lattice="4.1512 0.0000 0.0000 0.0000 4.1512 0.0000 0.0000 0.0000 16.5123" Properties=species:S:1:pos:R:3 pbc="T T T"
Ba 0.0000 0.0000 1.9376
Ba 0.0000 0.0000 6.1500
Ba 0.0000 0.0000 10.3623
Ba 0.0000 0.0000 14.5746
Zr 2.0756 2.0756 4.0550
Zr 2.0756 2.0756 8.2561
Zr 2.0756 2.0756 12.4573
Ti 2.0756 2.0756 0.0000
O 0.0000 2.0756 0.0000
O 0.0000 2.0756 4.0552
O 0.0000 2.0756 8.2561
O 0.0000 2.0756 12.4571
O 2.0756 0.0000 0.0000
O 2.0756 0.0000 4.0552
O 2.0756 0.0000 8.2561
O 2.0756 0.0000 12.4571
O 2.0756 2.0756 1.9289
O 2.0756 2.0756 6.1503
O 2.0756 2.0756 10.3620
O 2.0756 2.0756 14.5833
```

---

Record 3
First-principles (PBEsol) data for crystalline Ba2ZrTiO6 at its relaxed geometry, as listed in Alexandria.

## Properties
Total DFT energy (no corrections) ... -85.54 eV/cell
Crystal system ... cubic
D(E_F) ... 0.00 states/eV/f.u.
Space-group type ... Fm-3m
Formation energy from raw total energies ... -3.2331 eV/atom

Geometry as extended XYZ:
```
10
Lattice="0.0000 4.0839 4.0839 4.0839 0.0000 4.0839 4.0839 4.0839 0.0000" Properties=species:S:1:pos:R:3 pbc="T T T"
Ba 2.0419 2.0419 2.0419
Ba 6.1258 6.1258 6.1258
Zr 0.0000 0.0000 0.0000
Ti 4.0839 4.0839 4.0839
O 4.0839 4.0839 2.1000
O 4.0839 2.1000 4.0839
O 6.0678 4.0839 4.0839
O 2.1000 4.0839 4.0839
O 4.0839 6.0678 4.0839
O 4.0839 4.0839 6.0678
```

---

Record 4
First-principles (PBEsol) data for crystalline BaTl2O4 at its relaxed geometry, as listed in Alexandria.

## Properties
Total DFT energy (no corrections) ... -74.73 eV/cell
Crystal system ... orthorhombic
D(E_F) ... 1.48 states/eV/f.u.
Space-group type ... Cmcm
Formation energy from raw total energies ... -1.2798 eV/atom
Distance to the lowest polymorph of the same formula ... 29 meV per atom

Geometry as extended XYZ:
```
14
Lattice="1.7662 -5.6857 0.0000 1.7662 5.6857 0.0000 0.0000 0.0000 10.9135" Properties=species:S:1:pos:R:3 pbc="T T T"
Ba 1.7662 4.4709 8.1851
Ba 1.7662 -4.4709 2.7284
Tl 1.7662 1.5526 6.1951
Tl 1.7662 1.5526 10.1751
Tl 1.7662 -1.5526 0.7384
Tl 1.7662 -1.5526 4.7184
O 0.0000 0.0000 0.0000
O 0.0000 0.0000 5.4567
O 1.7662 2.5935 1.1724
O 1.7662 2.5935 4.2844
O 1.7662 0.7263 8.1851
O 1.7662 -0.7263 2.7284
O 1.7662 -2.5935 6.6291
O 1.7662 -2.5935 9.7411
```

---

Record 5
First-principles (PBEsol) data for crystalline BaTl2O4 at its relaxed geometry, as listed in Alexandria.

## Properties
Total DFT energy (no corrections) ... -222.74 eV/cell
Crystal system ... monoclinic
D(E_F) ... 1.23 states/eV/f.u.
Space-group type ... C2/c
Formation energy from raw total energies ... -1.2454 eV/atom
Distance to the lowest polymorph of the same formula ... 63 meV per atom

Geometry as extended XYZ:
```
42
Lattice="5.2173 -3.0778 0.0000 5.2173 3.0778 0.0000 -0.1184 0.0000 21.7705" Properties=species:S:1:pos:R:3 pbc="T T T"
Ba 5.1286 2.3336 16.3279
Ba 3.4436 0.7967 7.7570
Ba 3.3844 -0.7967 18.6423
Ba 6.9319 0.7967 3.1283
Ba 6.8727 -0.7967 14.0135
Ba 5.1877 -2.3336 5.4426
Tl 5.1419 2.2351 12.3711
Tl 5.1152 2.2351 20.2847
Tl 3.4584 0.8242 4.2369
Tl 3.5296 0.8082 1.1784
Tl 3.3992 -0.8242 15.1222
Tl 3.4704 -0.8082 12.0636
Tl 6.8459 0.8082 9.7069
Tl 6.9171 0.8242 6.6484
Tl 6.7867 -0.8082 20.5922
Tl 6.8579 -0.8242 17.5336
Tl 5.2011 -2.2351 1.4859
Tl 5.1743 -2.2351 9.3994
O 3.2453 1.8196 19.0823
O 1.4160 0.3030 21.7273
O 4.6914 2.1387 2.8049
O 2.1306 0.5916 16.1838
O 1.4752 -0.3030 10.8421
O 5.6841 2.1387 8.0804
O 3.8741 0.8907 13.5000
O 2.1898 -0.5916 5.2986
O 7.0118 1.8196 13.5735
O 5.1877 0.2553 5.4426
O 6.3830 0.8907 19.1558
O 5.2173 0.0000 0.0000
O 5.1581 0.0000 10.8853
O 3.9333 -0.8907 2.6147
O 5.1286 -0.2553 16.3279
O 3.3045 -1.8196 8.1970
O 8.1265 0.5916 16.4720
O 6.4422 -0.8907 8.2705
O 4.6322 -2.1387 13.6901
O 8.8411 0.3030 10.9285
O 8.1857 -0.5916 5.5867
O 5.6249 -2.1387 18.9657
O 8.9003 -0.3030 0.0432
O 7.0710 -1.8196 2.6882
```

---

Record 6
First-principles (PBEsol) data for crystalline BaTl2O4 at its relaxed geometry, as listed in Alexandria.

## Properties
Total DFT energy (no corrections) ... -150.27 eV/cell
Crystal system ... orthorhombic
D(E_F) ... 0.82 states/eV/f.u.
Space-group type ... Pnma
Formation energy from raw total energies ... -1.3086 eV/atom
Distance to the lowest polymorph of the same formula ... 0 meV per atom

Geometry as extended XYZ:
```
28
Lattice="10.3207 0.0000 0.0000 0.0000 3.4801 0.0000 0.0000 0.0000 12.0115" Properties=species:S:1:pos:R:3 pbc="T T T"
Ba 2.5313 0.8700 1.8199
Ba 2.6291 2.6101 7.8257
Ba 7.6917 0.8700 4.1858
Ba 7.7894 2.6101 10.1916
Tl 0.7699 0.8700 4.7061
Tl 0.8091 0.8700 10.7175
Tl 4.3512 2.6101 4.7117
Tl 4.3905 2.6101 10.7119
Tl 5.9303 0.8700 1.2996
Tl 5.9695 0.8700 7.2998
Tl 9.5116 2.6101 1.2940
Tl 9.5508 2.6101 7.3054
O 0.2163 2.6101 9.3771
O 0.7978 0.8700 6.9123
O 1.2418 2.6101 0.2086
O 2.1441 2.6101 4.0164
O 3.0163 0.8700 10.0221
O 3.9186 0.8700 6.2143
O 4.3626 2.6101 0.9065
O 4.9440 0.8700 3.3713
O 5.3767 2.6101 8.6402
O 5.9581 0.8700 11.1050
O 6.4022 2.6101 5.7972
O 7.3045 2.6101 1.9894
O 8.1766 0.8700 7.9952
O 9.0789 0.8700 11.8029
O 9.5230 2.6101 5.0992
O 10.1044 0.8700 2.6345
```

---

Record 7
First-principles (PBEsol) data for crystalline BaTl3O at its relaxed geometry, as listed in Alexandria.

## Properties
Total DFT energy (no corrections) ... -9.62 eV/cell
Crystal system ... cubic
D(E_F) ... 8.40 states/eV/f.u.
Space-group type ... Pm-3m
Formation energy from raw total energies ... 1.1334 eV/atom
Distance to the lowest polymorph of the same formula ... 1442 meV per atom

Geometry as extended XYZ:
```
5
Lattice="6.3986 0.0000 0.0000 0.0000 6.3986 0.0000 0.0000 0.0000 6.3986" Properties=species:S:1:pos:R:3 pbc="T T T"
Ba 0.0000 0.0000 0.0000
Tl 0.0000 0.0000 3.1993
Tl 0.0000 3.1993 0.0000
Tl 3.1993 0.0000 0.0000
O 3.1993 3.1993 3.1993
```

---

Record 8
First-principles (PBEsol) data for crystalline BaTl3O at its relaxed geometry, as listed in Alexandria.

## Properties
Total DFT energy (no corrections) ... -16.83 eV/cell
Crystal system ... cubic
D(E_F) ... 3.56 states/eV/f.u.
Space-group type ... Pm-3m
Formation energy from raw total energies ... -0.3082 eV/atom
Distance to the lowest polymorph of the same formula ... 0 meV per atom

Geometry as extended XYZ:
```
5
Lattice="5.1791 0.0000 0.0000 0.0000 5.1791 0.0000 0.0000 0.0000 5.1791" Properties=species:S:1:pos:R:3 pbc="T T T"
Ba 0.0000 0.0000 0.0000
Tl 0.0000 2.5895 2.5895
Tl 2.5895 0.0000 2.5895
Tl 2.5895 2.5895 0.0000
O 2.5895 2.5895 2.5895
```